[1]
## CsSr4Eu (PBE)

Data for a relaxed structure of CsSr4Eu.

The value obtained for the formation energy is 0.1752 eV per atom.

abc: 11.4292 11.4292 11.4292
angles: 90.00 90.00 90.00
Space group F-43m (No. 216)
Inequivalent atoms, fractional coordinates:
Cs 0.0000 0.0000 0.0000 (multiplicity 4)
Sr 0.1242 0.1242 0.3758 (multiplicity 16)
Eu 0.2500 0.2500 0.7500 (multiplicity 4)


[2]
## Na3NdBr6 (PBE)

Data for a relaxed structure of Na3NdBr6.

Its uncorrected formation energy is -161.0 kJ/mol of atoms.

abc: 7.4203 7.8393 13.2293
angles: 90.00 123.16 90.00
Space group P2_1/c (No. 14)
Inequivalent atoms, fractional coordinates:
Na 0.0000 0.0000 0.0000 (multiplicity 2)
Na 0.2067 0.0751 0.7285 (multiplicity 4)
Nd 0.5000 0.0000 0.5000 (multiplicity 2)
Br 0.1145 0.1813 0.4388 (multiplicity 4)
Br 0.2372 0.6920 0.4105 (multiplicity 4)
Br 0.4045 0.0769 0.2596 (multiplicity 4)


| no. | uncorrected energy (eV per atom) | ρ (g/cm³) |
| --- | --- | --- |
| 1 | -2.801 | 2.83 |
| 2 | -3.545 | 3.57 |